1.
Compound: MgCd2S3
Source: the Alexandria database
Functional: GGA-PBE
Structure: optimized geometry

Calculated values
Energy above the lowest structure with this stoichiometry: 0.0000 eV/atom
Calculated density: 3.8 g/cm3

Lattice parameters (Å, degrees): 6.731 7.173 7.173 120.01 90.00 90.00
Element x y z (fractional)
Mg (0.055, 0.836, 0.836)
Mg (0.555, 0.164, 0.164)
Cd (0.554, 0.834, 0.504)
Cd (0.054, 0.496, 0.166)
Cd (0.554, 0.504, 0.834)
Cd (0.054, 0.166, 0.496)
S (0.936, 0.833, 0.510)
S (0.436, 0.490, 0.167)
S (0.936, 0.510, 0.833)
S (0.436, 0.167, 0.490)
S (0.422, 0.845, 0.845)
S (0.922, 0.155, 0.155)



2.
Compound: MgCdS2
Source: the Alexandria database
Functional: GGA-PBE
Structure: optimized geometry

Calculated values
Calculated density: 4.3 g/cm3
Total energy: -14.53 eV/cell

Lattice parameters (Å, degrees): 3.802 3.802 5.394 90.00 90.00 90.00
Element x y z (fractional)
S (0.500, 0.500, 0.500)
S (0.000, 0.000, 0.000)
Mg (0.000, 0.000, 0.500)
Cd (0.500, 0.500, 0.000)



3.
Compound: MgCdS2
Source: the Alexandria database
Functional: GGA-PBE
Structure: optimized geometry

Calculated values
Calculated density: 4.3 g/cm3
Total energy: -14.25 eV/cell

Lattice parameters (Å, degrees): 3.748 3.748 6.797 74.00 74.00 60.00
Element x y z (fractional)
Mg (0.667, 0.667, 0.999)
Cd (0.499, 0.499, 0.503)
S (0.077, 0.077, 0.768)
S (0.257, 0.257, 0.230)



4.
Compound: MgCdS2
Source: the Alexandria database
Functional: GGA-PBE
Structure: optimized geometry

Calculated values
Calculated density: 3.5 g/cm3
Total energy: -29.27 eV/cell

Lattice parameters (Å, degrees): 3.939 6.370 10.137 50.51 79.19 89.42
Element x y z (fractional)
Mg (0.143, 0.828, 0.020)
Mg (0.681, 0.128, 0.307)
S (0.965, 0.173, 0.047)
S (0.508, 0.635, 0.556)
S (0.725, 0.891, 0.845)
S (0.172, 0.370, 0.302)
Cd (0.006, 0.377, 0.553)
Cd (0.554, 0.497, 0.851)